Material: NiRhN2
Method: DFT, GGA-PBE
State: relaxed

Lattice parameters (Å, degrees): 6.120 6.120 6.120 28.02 28.02 28.02
Atoms (fractional coordinates):
Ni (0.000, 0.000, 0.000)
Rh (0.500, 0.500, 0.500)
N (0.101, 0.101, 0.101)
N (0.899, 0.899, 0.899)

Values from the calculation:
symmetry	No. 166
ΔE_f (raw)	673.2	meV/atom
total moment	0.0	Bohr magnetons per cell
DFT total energy	-27.1	eV per cell

Material: NiRhN3
Method: DFT, GGA-PBE
State: relaxed

Lattice parameters (Å, degrees): 3.841 3.841 3.841 90.00 90.00 90.00
Atoms (fractional coordinates):
Ni (0.000, 0.000, 0.000)
Rh (0.500, 0.500, 0.500)
N (0.000, 0.500, 0.500)
N (0.500, 0.000, 0.500)
N (0.500, 0.500, 0.000)

Values from the calculation:
symmetry	No. 221
ΔE_f (raw)	1936.0	meV/atom
total moment	2.5	Bohr magnetons per cell
DFT total energy	-28.4	eV per cell

Material: NiRh2N
Method: DFT, GGA-PBE
State: relaxed

Lattice parameters (Å, degrees): 5.113 5.113 5.113 105.83 105.83 117.03
Atoms (fractional coordinates):
Ni (0.000, 0.000, 0.000)
Ni (0.750, 0.250, 0.500)
Rh (0.221, 0.625, 0.096)
Rh (0.375, 0.471, 0.596)
Rh (0.529, 0.125, 0.904)
Rh (0.875, 0.779, 0.404)
N (0.250, 0.750, 0.500)
N (0.500, 0.500, 0.000)

Values from the calculation:
symmetry	No. 122
ΔE_f (raw)	435.5	meV/atom
total moment	0.8	Bohr magnetons per cell
DFT total energy	-54.1	eV per cell

Material: NiRhN2
Method: DFT, GGA-PBE
State: relaxed

Lattice parameters (Å, degrees): 3.730 3.730 3.730 60.00 60.00 60.00
Atoms (fractional coordinates):
Ni (0.000, 0.000, 0.000)
Rh (0.500, 0.500, 0.500)
N (0.250, 0.250, 0.250)
N (0.750, 0.750, 0.750)

Values from the calculation:
symmetry	No. 225
ΔE_f (raw)	1199.7	meV/atom
total moment	1.2	Bohr magnetons per cell
DFT total energy	-25.0	eV per cell

Material: NiRhN2
Method: DFT, GGA-PBE
State: relaxed

Lattice parameters (Å, degrees): 5.504 5.504 5.504 132.27 132.27 69.80
Atoms (fractional coordinates):
Ni (0.000, 0.000, 0.000)
Ni (0.750, 0.250, 0.500)
Rh (0.250, 0.750, 0.500)
Rh (0.500, 0.500, 0.000)
N (0.109, 0.625, 0.984)
N (0.375, 0.359, 0.484)
N (0.641, 0.125, 0.016)
N (0.875, 0.891, 0.516)

Values from the calculation:
symmetry	No. 122
ΔE_f (raw)	449.5	meV/atom
total moment	0.0	Bohr magnetons per cell
DFT total energy	-56.0	eV per cell

Material: NiRhN3
Method: DFT, GGA-PBE
State: relaxed

Lattice parameters (Å, degrees): 3.638 3.638 3.638 90.00 90.00 90.00
Atoms (fractional coordinates):
Ni (0.000, 0.000, 0.000)
Rh (0.500, 0.500, 0.500)
N (0.000, 0.000, 0.500)
N (0.000, 0.500, 0.000)
N (0.500, 0.000, 0.000)

Values from the calculation:
symmetry	No. 221
ΔE_f (raw)	1756.4	meV/atom
total moment	0.0	Bohr magnetons per cell
DFT total energy	-29.3	eV per cell